(1)
Compound: BaZr2Ta
Source: Alexandria
Functional: PBE-GGA
Structure: optimized geometry

Geometry as CIF:
```
data_BaZr2Ta
_chemical_formula_sum 'Ba2 Zr4 Ta2'
_symmetry_space_group_name_H-M 'I m m 2'
_symmetry_Int_Tables_number 44
_cell_length_a 3.3958
_cell_length_b 4.6845
_cell_length_c 15.6555
_cell_angle_alpha 90.00
_cell_angle_beta 90.00
_cell_angle_gamma 90.00
loop_
_symmetry_equiv_pos_as_xyz
'x,y,z'
'-x,-y,z'
'-x,y,z'
'x,-y,z'
'x+1/2,y+1/2,z+1/2'
'-x+1/2,-y+1/2,z+1/2'
'-x+1/2,y+1/2,z+1/2'
'x+1/2,-y+1/2,z+1/2'
loop_
_atom_site_label
_atom_site_fract_x
_atom_site_fract_y
_atom_site_fract_z
_atom_site_occupancy
Ba1 0.0000 0.0000 0.0000 1
Zr1 0.0000 0.0000 0.3450 1
Zr2 0.0000 0.5000 0.2163 1
Ta1 0.0000 0.5000 0.7045 1
```

* ΔE_f: 0.685 eV per atom
* distance to the lowest polymorph of the same formula: 0.340 eV per atom

=====

(2)
Compound: Ba2ZrTa
Source: Alexandria
Functional: PBE-GGA
Structure: optimized geometry

Geometry as CIF:
```
data_Ba2ZrTa
_chemical_formula_sum 'Ba6 Zr3 Ta3'
_symmetry_space_group_name_H-M 'R 3 m'
_symmetry_Int_Tables_number 160
_symmetry_space_group_name_Hall 'R 3 -2"'
_cell_length_a 3.5922
_cell_length_b 3.5922
_cell_length_c 35.5387
_cell_angle_alpha 90.00
_cell_angle_beta 90.00
_cell_angle_gamma 120.00
loop_
_atom_site_label
_atom_site_fract_x
_atom_site_fract_y
_atom_site_fract_z
_atom_site_occupancy
Ba1 0.0000 0.0000 0.0000 1
Ba2 0.0000 0.0000 0.2212 1
Zr1 0.0000 0.0000 0.4678 1
Ta1 0.0000 0.0000 0.7454 1
```

* ΔE_f: 0.780 eV per atom
* distance to the lowest polymorph of the same formula: 0.261 eV per atom

=====

(3)
Compound: BaZrTa2
Source: Alexandria
Functional: PBE-GGA
Structure: optimized geometry

Geometry as CIF:
```
data_BaZrTa2
_chemical_formula_sum 'Ba1 Zr1 Ta2'
_symmetry_space_group_name_H-M 'P 4/m m m'
_symmetry_Int_Tables_number 123
_symmetry_space_group_name_Hall '-P 4 2'
_cell_length_a 3.0286
_cell_length_b 3.0286
_cell_length_c 10.7397
_cell_angle_alpha 90.00
_cell_angle_beta 90.00
_cell_angle_gamma 90.00
loop_
_atom_site_label
_atom_site_fract_x
_atom_site_fract_y
_atom_site_fract_z
_atom_site_occupancy
Ba1 0.0000 0.0000 0.0000 1
Zr1 0.0000 0.0000 0.5000 1
Ta1 0.5000 0.5000 0.2914 1
```

* ΔE_f: 0.751 eV per atom
* distance to the lowest polymorph of the same formula: 0.282 eV per atom

=====

(4)
Compound: BaZrTa2
Source: Alexandria
Functional: PBE-GGA
Structure: optimized geometry

Geometry as CIF:
```
data_BaZrTa2
_chemical_formula_sum 'Ba1 Zr1 Ta2'
_symmetry_space_group_name_H-M 'P 4/m m m'
_symmetry_Int_Tables_number 123
_symmetry_space_group_name_Hall '-P 4 2'
_cell_length_a 4.3466
_cell_length_b 4.3466
_cell_length_c 4.9726
_cell_angle_alpha 90.00
_cell_angle_beta 90.00
_cell_angle_gamma 90.00
loop_
_atom_site_label
_atom_site_fract_x
_atom_site_fract_y
_atom_site_fract_z
_atom_site_occupancy
Ba1 0.0000 0.0000 0.0000 1
Zr1 0.5000 0.5000 0.0000 1
Ta1 0.0000 0.5000 0.5000 1
```

* ΔE_f: 1.116 eV per atom
* distance to the lowest polymorph of the same formula: 0.647 eV per atom

=====

(5)
Compound: BaZrTa2
Source: Alexandria
Functional: PBE-GGA
Structure: optimized geometry

Geometry as CIF:
```
data_BaZrTa2
_chemical_formula_sum 'Ba4 Zr4 Ta8'
_symmetry_space_group_name_H-M 'I 41/a m d'
_symmetry_Int_Tables_number 141
_cell_length_a 5.1555
_cell_length_b 5.1555
_cell_length_c 20.1447
_cell_angle_alpha 90.00
_cell_angle_beta 90.00
_cell_angle_gamma 90.00
loop_
_symmetry_equiv_pos_as_xyz
'x,y,z'
'-x,-y,-z'
'-y+1/4,x+3/4,z+1/4'
'y+1/4,-x+3/4,-z+1/4'
'-x+1/2,-y,z+1/2'
'x+1/2,y,-z+1/2'
'y+1/4,-x+1/4,z+3/4'
'-y+1/4,x+1/4,-z+3/4'
'x,-y,-z'
'-x,y,z'
'-y+1/4,-x+1/4,-z+3/4'
'y+1/4,x+1/4,z+3/4'
'-x+1/2,y,-z+1/2'
'x+1/2,-y,z+1/2'
'y+1/4,x+3/4,-z+1/4'
'-y+1/4,-x+3/4,z+1/4'
'x+1/2,y+1/2,z+1/2'
'-x+1/2,-y+1/2,-z+1/2'
'-y+3/4,x+1/4,z+3/4'
'y+3/4,-x+1/4,-z+3/4'
'-x,-y+1/2,z'
'x,y+1/2,-z'
'y+3/4,-x+3/4,z+1/4'
'-y+3/4,x+3/4,-z+1/4'
'x+1/2,-y+1/2,-z+1/2'
'-x+1/2,y+1/2,z+1/2'
'-y+3/4,-x+3/4,-z+1/4'
'y+3/4,x+3/4,z+1/4'
'-x,y+1/2,-z'
'x,-y+1/2,z'
'y+3/4,x+1/4,-z+3/4'
'-y+3/4,-x+1/4,z+3/4'
loop_
_atom_site_label
_atom_site_fract_x
_atom_site_fract_y
_atom_site_fract_z
_atom_site_occupancy
Ba1 0.0000 0.2500 0.3750 1
Zr1 0.0000 0.2500 0.8750 1
Ta1 0.0000 0.0000 0.0000 1
```

* ΔE_f: 1.433 eV per atom
* distance to the lowest polymorph of the same formula: 0.964 eV per atom

=====

(6)
Compound: Ba2ZrTa
Source: Alexandria
Functional: PBE-GGA
Structure: optimized geometry

Geometry as CIF:
```
data_Ba2ZrTa
_chemical_formula_sum 'Ba4 Zr2 Ta2'
_symmetry_space_group_name_H-M 'I 4/m m m'
_symmetry_Int_Tables_number 139
_symmetry_space_group_name_Hall '-I 4 2'
_cell_length_a 4.5701
_cell_length_b 4.5701
_cell_length_c 11.5232
_cell_angle_alpha 90.00
_cell_angle_beta 90.00
_cell_angle_gamma 90.00
loop_
_atom_site_label
_atom_site_fract_x
_atom_site_fract_y
_atom_site_fract_z
_atom_site_occupancy
Ba1 0.0000 0.5000 0.2500 1
Zr1 0.0000 0.0000 0.0000 1
Ta1 0.0000 0.0000 0.5000 1
```

* ΔE_f: 1.104 eV per atom
* distance to the lowest polymorph of the same formula: 0.585 eV per atom

=====

(7)
Compound: BaZr2Ta
Source: Alexandria
Functional: PBE-GGA
Structure: optimized geometry

Geometry as CIF:
```
data_BaZr2Ta
_chemical_formula_sum 'Ba1 Zr2 Ta1'
_symmetry_space_group_name_H-M 'P 1 m 1'
_symmetry_Int_Tables_number 6
_cell_length_a 3.1814
_cell_length_b 5.0457
_cell_length_c 7.1471
_cell_angle_alpha 90.00
_cell_angle_beta 91.35
_cell_angle_gamma 90.00
loop_
_symmetry_equiv_pos_as_xyz
'x,y,z'
'x,-y,z'
loop_
_atom_site_label
_atom_site_fract_x
_atom_site_fract_y
_atom_site_fract_z
_atom_site_occupancy
Ba1 0.0000 0.0000 0.0000 1
Zr1 0.1159 0.5000 0.6507 1
Zr2 0.4654 0.0000 0.4691 1
Ta1 0.6508 0.5000 0.3190 1
```

* ΔE_f: 0.584 eV per atom
* distance to the lowest polymorph of the same formula: 0.239 eV per atom

=====

(8)
Compound: BaZr2Ta
Source: Alexandria
Functional: PBE-GGA
Structure: optimized geometry

Geometry as CIF:
```
data_BaZr2Ta
_chemical_formula_sum 'Ba2 Zr4 Ta2'
_symmetry_space_group_name_H-M 'C m m m'
_symmetry_Int_Tables_number 65
_symmetry_space_group_name_Hall '-C 2 2'
_cell_length_a 6.3851
_cell_length_b 9.9609
_cell_length_c 3.1142
_cell_angle_alpha 90.00
_cell_angle_beta 90.00
_cell_angle_gamma 90.00
loop_
_atom_site_label
_atom_site_fract_x
_atom_site_fract_y
_atom_site_fract_z
_atom_site_occupancy
Ba1 0.0000 0.0000 0.0000 1
Zr1 0.2500 0.2500 0.5000 1
Ta1 0.0000 0.5000 0.0000 1
```

* ΔE_f: 0.816 eV per atom
* distance to the lowest polymorph of the same formula: 0.471 eV per atom

=====

(9)
Compound: BaZrTa2
Source: Alexandria
Functional: PBE-GGA
Structure: optimized geometry

Geometry as CIF:
```
data_BaZrTa2
_chemical_formula_sum 'Ba2 Zr2 Ta4'
_symmetry_space_group_name_H-M 'C m m 2'
_symmetry_Int_Tables_number 35
_cell_length_a 3.6298
_cell_length_b 5.0005
_cell_length_c 10.8176
_cell_angle_alpha 90.00
_cell_angle_beta 90.00
_cell_angle_gamma 90.00
loop_
_symmetry_equiv_pos_as_xyz
'x,y,z'
'-x,-y,z'
'-x,y,z'
'x,-y,z'
'x+1/2,y+1/2,z'
'-x+1/2,-y+1/2,z'
'-x+1/2,y+1/2,z'
'x+1/2,-y+1/2,z'
loop_
_atom_site_label
_atom_site_fract_x
_atom_site_fract_y
_atom_site_fract_z
_atom_site_occupancy
Ba1 0.0000 0.0000 0.0000 1
Zr1 0.0000 0.5000 0.6826 1
Ta1 0.0000 0.0000 0.4722 1
Ta2 0.0000 0.5000 0.2818 1
```

* ΔE_f: 0.588 eV per atom
* distance to the lowest polymorph of the same formula: 0.119 eV per atom

=====

(10)
Compound: Ba2ZrTa
Source: Alexandria
Functional: PBE-GGA
Structure: optimized geometry

Geometry as CIF:
```
data_Ba2ZrTa
_chemical_formula_sum 'Ba4 Zr2 Ta2'
_symmetry_space_group_name_H-M 'C 1 2/m 1'
_symmetry_Int_Tables_number 12
_cell_length_a 20.4630
_cell_length_b 3.4782
_cell_length_c 4.4371
_cell_angle_alpha 90.00
_cell_angle_beta 102.42
_cell_angle_gamma 90.00
loop_
_symmetry_equiv_pos_as_xyz
'x,y,z'
'-x,-y,-z'
'-x,y,-z'
'x,-y,z'
'x+1/2,y+1/2,z'
'-x+1/2,-y+1/2,-z'
'-x+1/2,y+1/2,-z'
'x+1/2,-y+1/2,z'
loop_
_atom_site_label
_atom_site_fract_x
_atom_site_fract_y
_atom_site_fract_z
_atom_site_occupancy
Ba1 0.1560 0.0000 0.1542 1
Zr1 0.0000 0.0000 0.5000 1
Ta1 0.0000 0.5000 0.0000 1
```

* ΔE_f: 0.692 eV per atom
* distance to the lowest polymorph of the same formula: 0.172 eV per atom

=====

(11)
Compound: BaZr2Ta
Source: Alexandria
Functional: PBE-GGA
Structure: optimized geometry

Geometry as CIF:
```
data_BaZr2Ta
_chemical_formula_sum 'Ba2 Zr4 Ta2'
_symmetry_space_group_name_H-M 'I -4 m 2'
_symmetry_Int_Tables_number 119
_symmetry_space_group_name_Hall 'I -4 -2'
_cell_length_a 4.6618
_cell_length_b 4.6618
_cell_length_c 9.2293
_cell_angle_alpha 90.00
_cell_angle_beta 90.00
_cell_angle_gamma 90.00
loop_
_atom_site_label
_atom_site_fract_x
_atom_site_fract_y
_atom_site_fract_z
_atom_site_occupancy
Ba1 0.0000 0.0000 0.0000 1
Zr1 0.0000 0.0000 0.5000 1
Zr2 0.0000 0.5000 0.2500 1
Ta1 0.0000 0.5000 0.7500 1
```

* ΔE_f: 0.865 eV per atom
* distance to the lowest polymorph of the same formula: 0.519 eV per atom

=====

(12)
Compound: BaZr2Ta
Source: Alexandria
Functional: PBE-GGA
Structure: optimized geometry

Geometry as CIF:
```
data_BaZr2Ta
_chemical_formula_sum 'Ba4 Zr8 Ta4'
_symmetry_space_group_name_H-M 'I 41/a m d'
_symmetry_Int_Tables_number 141
_cell_length_a 5.5502
_cell_length_b 5.5502
_cell_length_c 19.0421
_cell_angle_alpha 90.00
_cell_angle_beta 90.00
_cell_angle_gamma 90.00
loop_
_symmetry_equiv_pos_as_xyz
'x,y,z'
'-x,-y,-z'
'-y+1/4,x+3/4,z+1/4'
'y+1/4,-x+3/4,-z+1/4'
'-x+1/2,-y,z+1/2'
'x+1/2,y,-z+1/2'
'y+1/4,-x+1/4,z+3/4'
'-y+1/4,x+1/4,-z+3/4'
'x,-y,-z'
'-x,y,z'
'-y+1/4,-x+1/4,-z+3/4'
'y+1/4,x+1/4,z+3/4'
'-x+1/2,y,-z+1/2'
'x+1/2,-y,z+1/2'
'y+1/4,x+3/4,-z+1/4'
'-y+1/4,-x+3/4,z+1/4'
'x+1/2,y+1/2,z+1/2'
'-x+1/2,-y+1/2,-z+1/2'
'-y+3/4,x+1/4,z+3/4'
'y+3/4,-x+1/4,-z+3/4'
'-x,-y+1/2,z'
'x,y+1/2,-z'
'y+3/4,-x+3/4,z+1/4'
'-y+3/4,x+3/4,-z+1/4'
'x+1/2,-y+1/2,-z+1/2'
'-x+1/2,y+1/2,z+1/2'
'-y+3/4,-x+3/4,-z+1/4'
'y+3/4,x+3/4,z+1/4'
'-x,y+1/2,-z'
'x,-y+1/2,z'
'y+3/4,x+1/4,-z+3/4'
'-y+3/4,-x+1/4,z+3/4'
loop_
_atom_site_label
_atom_site_fract_x
_atom_site_fract_y
_atom_site_fract_z
_atom_site_occupancy
Ba1 0.0000 0.2500 0.3750 1
Zr1 0.0000 0.0000 0.0000 1
Ta1 0.0000 0.2500 0.8750 1
```

* ΔE_f: 1.343 eV per atom
* distance to the lowest polymorph of the same formula: 0.998 eV per atom

=====

The evaluated raw total energy for the records listed, in turn: -7.03, -5.28, -7.79, -7.43, -7.11, -4.96, -7.13, -6.90, -7.96, -5.37, -6.85, -6.37 eV/atom.
The evaluated DOS at the Fermi energy for the records listed, in turn: 11.33, 16.90, 4.64, 4.38, 27.59, 15.04, 4.80, 9.81, 11.85, 10.52, 10.06, 32.75 states/eV/cell.